1.
DFT (PBE) results for an optimized crystal structure of Pr6S4N3Cl.

Results
E_tot in eV for the cell shown: -387.93
Size of the total moment in μB per formula unit: 0.000
Formation energy from raw total energies in kJ per mole of atoms: -172

abc: 4.0658 11.8881 26.9184
angles: 90.00 90.00 90.00
Element x y z (fractional)
Pr  0.2500  0.8831  0.7950
N  0.2500  0.0608  0.3760
S  0.2500  0.1817  0.6411
Pr  0.2500  0.9430  0.5741
Pr  0.2500  0.3831  0.7050
Pr  0.7500  0.2661  0.8309
S  0.7500  0.8541  0.4929
Cl  0.7500  0.3685  0.2679
Pr  0.2500  0.4430  0.9259
N  0.2500  0.5977  0.4908
Pr  0.2500  0.2339  0.3309
Pr  0.7500  0.5882  0.5407
S  0.2500  0.2152  0.8963
S  0.7500  0.3541  0.0071
S  0.7500  0.2848  0.3963
Pr  0.7500  0.7661  0.6691
N  0.7500  0.8884  0.7399
Pr  0.2500  0.7339  0.1691
S  0.2500  0.7152  0.6037
Cl  0.7500  0.8685  0.2321
Pr  0.7500  0.5570  0.0741
Pr  0.7500  0.0882  0.9593
S  0.2500  0.0460  0.1342
Cl  0.2500  0.1315  0.7679
N  0.7500  0.4023  0.5092
Pr  0.2500  0.9448  0.3087
N  0.2500  0.0977  0.0092
Pr  0.2500  0.9118  0.0407
S  0.7500  0.3183  0.1411
S  0.7500  0.7848  0.1037
N  0.2500  0.6116  0.2399
S  0.2500  0.1459  0.5071
Pr  0.2500  0.4118  0.4593
S  0.7500  0.9540  0.8658
Pr  0.7500  0.0570  0.4259
N  0.7500  0.9023  0.9908
S  0.2500  0.6817  0.8589
Pr  0.2500  0.2347  0.0652
S  0.2500  0.5460  0.3658
N  0.7500  0.4392  0.8760
S  0.7500  0.4540  0.6342
S  0.7500  0.8183  0.3589
Pr  0.7500  0.7653  0.9348
Cl  0.2500  0.6315  0.7321
Pr  0.2500  0.4448  0.1913
Pr  0.7500  0.0552  0.6913
N  0.7500  0.9392  0.6240
Pr  0.7500  0.1169  0.2050
N  0.2500  0.1116  0.2601
Pr  0.2500  0.7347  0.4348
Pr  0.7500  0.6169  0.2950
N  0.7500  0.3884  0.7601
S  0.2500  0.6459  0.9929
Pr  0.7500  0.2653  0.5652
Pr  0.7500  0.5552  0.8087
N  0.2500  0.5608  0.1240

2.
DFT (PBE) results for an optimized crystal structure of Pr2ScN2Cl2.

Results
E_tot in eV for the cell shown: -47.81
Size of the total moment in μB per formula unit: 0.000
Formation energy from raw total energies in kJ per mole of atoms: -159

abc: 4.2531 4.2531 8.1638
angles: 105.10 105.10 90.00
Element x y z (fractional)
Cl  0.1854  0.1854  0.3707
Pr  0.6005  0.6005  0.2011
N  0.5000  0.0000  0.0000
Sc  0.0000  0.0000  0.0000
Pr  0.3995  0.3995  0.7989
N  0.0000  0.5000  0.0000
Cl  0.8146  0.8146  0.6293

3.
DFT (PBE) results for an optimized crystal structure of Pr3SeNCl.

Results
E_tot in eV for the cell shown: -73.66
Size of the total moment in μB per formula unit: 0.000
Formation energy from raw total energies in kJ per mole of atoms: -142

abc: 3.6823 8.2570 10.3870
angles: 106.53 90.00 90.00
Element x y z (fractional)
Pr  0.7500  0.4826  0.1472
Pr  0.7500  0.2714  0.4406
Pr  0.2500  0.7286  0.5594
N  0.2500  0.6671  0.0866
Cl  0.7500  0.8444  0.3839
Pr  0.2500  0.5174  0.8528
Pr  0.7500  0.8693  0.1055
Cl  0.2500  0.1556  0.6161
Se  0.7500  0.8074  0.8049
Pr  0.2500  0.1307  0.8945
N  0.7500  0.3329  0.9134
Se  0.2500  0.1926  0.1951

4.
DFT (PBE) results for an optimized crystal structure of Pr4Se2NCl.

Results
E_tot in eV for the cell shown: -48.89
Size of the total moment in μB per formula unit: 0.000
Formation energy from raw total energies in kJ per mole of atoms: -152

abc: 3.9949 7.2336 7.1075
angles: 108.17 90.00 90.00
Element x y z (fractional)
Cl  0.0000  0.0000  0.0000
Pr  0.0000  0.7089  0.2091
N  0.5000  0.5000  0.0000
Pr  0.0000  0.2911  0.7909
Pr  0.5000  0.2813  0.2198
Pr  0.5000  0.7187  0.7802
Se  0.0000  0.5000  0.5000
Se  0.5000  0.0000  0.5000

5.
DFT (PBE) results for an optimized crystal structure of Pr6SiN2Cl3.

Results
E_tot in eV for the cell shown: -72.71
Size of the total moment in μB per formula unit: 0.000
Formation energy from raw total energies in kJ per mole of atoms: -132

abc: 3.9017 8.4604 9.3884
angles: 109.40 101.99 90.00
Element x y z (fractional)
Pr  0.6830  0.5514  0.3661
Cl  0.1627  0.8268  0.3255
Si  0.5000  0.0000  0.0000
Cl  0.5000  0.5000  0.0000
N  0.1729  0.3411  0.3458
Pr  0.0261  0.2539  0.0522
Pr  0.6659  0.1334  0.3318
Cl  0.8373  0.1732  0.6745
Pr  0.3170  0.4486  0.6339
Pr  0.3341  0.8666  0.6682
N  0.8271  0.6589  0.6542
Pr  0.9739  0.7461  0.9478

6.
DFT (PBE) results for an optimized crystal structure of Pr6Si2NCl3.

Results
E_tot in eV for the cell shown: -68.52
Size of the total moment in μB per formula unit: 0.000
Formation energy from raw total energies in kJ per mole of atoms: -122

abc: 7.0537 7.0537 7.5819
angles: 98.95 98.95 119.94
Element x y z (fractional)
Cl  0.5000  0.5000  0.5000
N  0.0000  0.0000  0.0000
Cl  0.1725  0.8275  0.5000
Pr  0.3745  0.0687  0.2069
Pr  0.6255  0.9313  0.7931
Pr  0.7652  0.7652  0.2071
Si  0.6662  0.3338  0.0000
Si  0.3338  0.6662  0.0000
Cl  0.8275  0.1725  0.5000
Pr  0.9313  0.6255  0.7931
Pr  0.2348  0.2348  0.7929
Pr  0.0687  0.3745  0.2069

What is the formula in the third record?
Pr3SeNCl

Please write out number 5 again, unchanged.
DFT (PBE) results for an optimized crystal structure of Pr6SiN2Cl3.

Results
E_tot in eV for the cell shown: -72.71
Size of the total moment in μB per formula unit: 0.000
Formation energy from raw total energies in kJ per mole of atoms: -132

abc: 3.9017 8.4604 9.3884
angles: 109.40 101.99 90.00
Element x y z (fractional)
Pr  0.6830  0.5514  0.3661
Cl  0.1627  0.8268  0.3255
Si  0.5000  0.0000  0.0000
Cl  0.5000  0.5000  0.0000
N  0.1729  0.3411  0.3458
Pr  0.0261  0.2539  0.0522
Pr  0.6659  0.1334  0.3318
Cl  0.8373  0.1732  0.6745
Pr  0.3170  0.4486  0.6339
Pr  0.3341  0.8666  0.6682
N  0.8271  0.6589  0.6542
Pr  0.9739  0.7461  0.9478